P.
This record from Alexandria via LeMat-Bulk describes an optimized crystal structure of Pm2ErMg. The functional is GGA-PBE.

Unit cell a=11.6518 b=11.6518 c=11.6518 alpha=17.48 beta=17.48 gamma=17.48
Atoms (fractional coordinates):
Pm 0.0000 0.0000 0.0000
Pm 0.1648 0.1648 0.1648
Er 0.5821 0.5821 0.5821
Mg 0.7491 0.7491 0.7491

Output
- magnetic moment (μB/f.u.) = 0.000
- space group = No. 160
- crystal system = trigonal



Q.
This record from Alexandria via LeMat-Bulk describes an optimized crystal structure of Pm2ErMg. The functional is GGA-PBE.

Unit cell a=3.6955 b=3.6955 c=9.0100 alpha=90.00 beta=90.00 gamma=90.00
Atoms (fractional coordinates):
Pm 0.0000 0.0000 0.2315
Pm 0.0000 0.0000 0.7685
Er 0.5000 0.5000 0.5000
Mg 0.5000 0.5000 0.0000

Output
- magnetic moment (μB/f.u.) = 0.000
- space group = No. 123
- crystal system = tetragonal



Stability summary - winner: Q; margin: 6.6 kJ/mol of atoms.



P.
This record from Alexandria via LeMat-Bulk describes an optimized crystal structure of Pm2ErMg2. The functional is GGA-PBE.

Unit cell a=6.0050 b=6.0050 c=6.0050 alpha=128.33 beta=108.80 gamma=93.31
Atoms (fractional coordinates):
Pm 0.1950 0.1950 0.0000
Pm 0.8050 0.8050 0.0000
Er 0.5000 0.0000 0.5000
Mg 0.2094 0.5000 0.7094
Mg 0.7906 0.5000 0.2906

Output
- magnetic moment (μB/f.u.) = 0.000
- space group = No. 71
- crystal system = orthorhombic



Q.
This record from Alexandria via LeMat-Bulk describes an optimized crystal structure of Pm2ErMg2. The functional is GGA-PBE.

Unit cell a=14.1962 b=14.1962 c=5.4507 alpha=90.00 beta=90.00 gamma=164.57
Atoms (fractional coordinates):
Pm 0.0449 0.9551 0.7500
Pm 0.2369 0.7631 0.7500
Pm 0.7631 0.2369 0.2500
Pm 0.9551 0.0449 0.2500
Er 0.1502 0.8498 0.2500
Er 0.8498 0.1502 0.7500
Mg 0.3599 0.6401 0.2500
Mg 0.4450 0.5550 0.7500
Mg 0.5550 0.4450 0.2500
Mg 0.6401 0.3599 0.7500

Output
- magnetic moment (μB/f.u.) = 0.000
- space group = No. 63
- crystal system = orthorhombic



Stability summary - winner: Q; margin: 10.4 kJ/mol of atoms.



P.
This record from Alexandria via LeMat-Bulk describes an optimized crystal structure of Pm2Er6Mg. The functional is GGA-PBE.

Unit cell a=3.5328 b=3.5328 c=25.9358 alpha=90.00 beta=90.00 gamma=120.00
Atoms (fractional coordinates):
Pm 0.0000 0.0000 0.1732
Pm 0.0000 0.0000 0.8268
Er 0.0000 0.0000 0.3956
Er 0.0000 0.0000 0.6044
Er 0.6667 0.3333 0.0637
Er 0.6667 0.3333 0.2889
Er 0.6667 0.3333 0.7111
Er 0.6667 0.3333 0.9363
Mg 0.6667 0.3333 0.5000

Output
- magnetic moment (μB/f.u.) = 0.101
- space group = No. 187
- crystal system = hexagonal



Q.
This record from Alexandria via LeMat-Bulk describes an optimized crystal structure of Pm2Er6Mg. The functional is GGA-PBE.

Unit cell a=10.5002 b=10.5002 c=5.0035 alpha=90.00 beta=90.00 gamma=90.00
Atoms (fractional coordinates):
Pm 0.1647 0.1647 0.0000
Pm 0.3353 0.6647 0.5000
Pm 0.6647 0.3353 0.5000
Pm 0.8353 0.8353 0.0000
Er 0.0007 0.6656 0.5000
Er 0.1656 0.4993 0.0000
Er 0.1683 0.8317 0.0000
Er 0.3317 0.3317 0.5000
Er 0.3344 0.9993 0.5000
Er 0.4993 0.1656 0.0000
Er 0.5007 0.8344 0.0000
Er 0.6656 0.0007 0.5000
Er 0.6683 0.6683 0.5000
Er 0.8317 0.1683 0.0000
Er 0.8344 0.5007 0.0000
Er 0.9993 0.3344 0.5000
Mg 0.0000 0.0000 0.5000
Mg 0.5000 0.5000 0.0000

Output
- magnetic moment (μB/f.u.) = 0.000
- space group = No. 136
- crystal system = tetragonal



Stability summary - winner: Q; margin: 4.9 kJ/mol of atoms.



P.
This record from Alexandria via LeMat-Bulk describes an optimized crystal structure of PmEr4Mg. The functional is GGA-PBE.

Unit cell a=3.5680 b=3.5680 c=14.1736 alpha=90.00 beta=90.00 gamma=90.00
Atoms (fractional coordinates):
Pm 0.0000 0.0000 0.0000
Er 0.0000 0.0000 0.3484
Er 0.0000 0.0000 0.6516
Er 0.5000 0.5000 0.1785
Er 0.5000 0.5000 0.8215
Mg 0.5000 0.5000 0.5000

Output
- magnetic moment (μB/f.u.) = 0.001
- space group = No. 123
- crystal system = tetragonal



Q.
This record from Alexandria via LeMat-Bulk describes an optimized crystal structure of PmEr4Mg. The functional is GGA-PBE.

Unit cell a=8.2618 b=8.2618 c=6.4959 alpha=109.69 beta=109.69 gamma=102.88
Atoms (fractional coordinates):
Pm 0.1594 0.8406 0.7500
Pm 0.8406 0.1594 0.2500
Er 0.1429 0.5245 0.2600
Er 0.2685 0.4123 0.7691
Er 0.4123 0.2685 0.2691
Er 0.4755 0.8571 0.2400
Er 0.5245 0.1429 0.7600
Er 0.5877 0.7315 0.7309
Er 0.7315 0.5877 0.2309
Er 0.8571 0.4755 0.7400
Mg 0.0926 0.9074 0.2500
Mg 0.9074 0.0926 0.7500

Output
- magnetic moment (μB/f.u.) = 0.005
- space group = No. 15
- crystal system = monoclinic



Stability summary - winner: P; margin: 5.8 kJ/mol of atoms.



P.
This record from Alexandria via LeMat-Bulk describes an optimized crystal structure of PmEr2Mg. The functional is GGA-PBE.

Unit cell a=5.5086 b=5.5086 c=5.5086 alpha=60.00 beta=60.00 gamma=60.00
Atoms (fractional coordinates):
Pm 0.0000 0.0000 0.0000
Er 0.2500 0.2500 0.2500
Er 0.7500 0.7500 0.7500
Mg 0.5000 0.5000 0.5000

Output
- magnetic moment (μB/f.u.) = 0.012
- space group = No. 225
- crystal system = cubic



Q.
This record from Alexandria via LeMat-Bulk describes an optimized crystal structure of PmEr2Mg. The functional is GGA-PBE.

Unit cell a=3.5087 b=3.5087 c=11.5028 alpha=98.83 beta=98.83 gamma=59.88
Atoms (fractional coordinates):
Pm 0.0000 0.0000 0.0000
Er 0.4189 0.4189 0.2558
Er 0.5805 0.5805 0.7421
Mg 0.8326 0.8326 0.4995

Output
- magnetic moment (μB/f.u.) = 0.001
- space group = No. 8
- crystal system = monoclinic



Stability summary - winner: Q; margin: 4.2 kJ/mol of atoms.



P.
This record from Alexandria via LeMat-Bulk describes an optimized crystal structure of PmEr2Mg. The functional is GGA-PBE.

Unit cell a=9.9215 b=9.9202 c=5.0776 alpha=75.19 beta=75.16 gamma=29.65
Atoms (fractional coordinates):
Pm 0.1293 0.1293 0.8707
Pm 0.8707 0.8707 0.1293
Er 0.0000 0.0000 0.5000
Er 0.3667 0.3667 0.6333
Er 0.5000 0.5000 0.0000
Er 0.6333 0.6333 0.3667
Mg 0.2500 0.2500 0.2500
Mg 0.7500 0.7500 0.7500

Output
- magnetic moment (μB/f.u.) = 0.000
- space group = No. 69
- crystal system = orthorhombic



Q.
This record from Alexandria via LeMat-Bulk describes an optimized crystal structure of PmEr2Mg. The functional is GGA-PBE.

Unit cell a=12.4105 b=12.4105 c=12.4105 alpha=15.97 beta=15.97 gamma=15.97
Atoms (fractional coordinates):
Pm 0.0000 0.0000 0.0000
Er 0.4115 0.4115 0.4115
Er 0.5885 0.5885 0.5885
Mg 0.5000 0.5000 0.5000

Output
- magnetic moment (μB/f.u.) = 0.000
- space group = No. 166
- crystal system = trigonal



R.
This record from Alexandria via LeMat-Bulk describes an optimized crystal structure of PmEr2Mg. The functional is GGA-PBE.

Unit cell a=4.8939 b=4.8939 c=4.9621 alpha=90.00 beta=90.00 gamma=90.00
Atoms (fractional coordinates):
Pm 0.0000 0.0000 0.0000
Er 0.0000 0.5000 0.5000
Er 0.5000 0.0000 0.5000
Mg 0.5000 0.5000 0.0000

Output
- magnetic moment (μB/f.u.) = 0.008
- space group = No. 123
- crystal system = tetragonal



Stability summary - winner: P; margin: 5.0 kJ/mol of atoms.



P.
This record from Alexandria via LeMat-Bulk describes an optimized crystal structure of PmEr2Mg2. The functional is GGA-PBE.

Unit cell a=8.9814 b=8.9814 c=3.5730 alpha=90.00 beta=90.00 gamma=90.00
Atoms (fractional coordinates):
Pm 0.0000 0.0000 0.0000
Pm 0.5000 0.5000 0.0000
Er 0.1306 0.3694 0.0000
Er 0.3694 0.8694 0.0000
Er 0.6306 0.1306 0.0000
Er 0.8694 0.6306 0.0000
Mg 0.1668 0.6668 0.5000
Mg 0.3332 0.1668 0.5000
Mg 0.6668 0.8332 0.5000
Mg 0.8332 0.3332 0.5000

Output
- magnetic moment (μB/f.u.) = 0.003
- space group = No. 127
- crystal system = tetragonal



Q.
This record from Alexandria via LeMat-Bulk describes an optimized crystal structure of PmEr2Mg2. The functional is GGA-PBE.

Unit cell a=3.7293 b=5.4622 c=14.0503 alpha=90.00 beta=97.64 gamma=90.00
Atoms (fractional coordinates):
Pm 0.1513 0.2500 0.3022
Pm 0.8487 0.7500 0.6978
Er 0.0445 0.7500 0.0888
Er 0.2373 0.7500 0.4751
Er 0.7627 0.2500 0.5249
Er 0.9555 0.2500 0.9112
Mg 0.3603 0.2500 0.7197
Mg 0.4480 0.7500 0.8970
Mg 0.5520 0.2500 0.1030
Mg 0.6397 0.7500 0.2803

Output
- magnetic moment (μB/f.u.) = 0.000
- space group = No. 11
- crystal system = monoclinic



Stability summary - winner: Q; margin: 11.4 kJ/mol of atoms.



P.
This record from Alexandria via LeMat-Bulk describes an optimized crystal structure of Pm3ErMg. The functional is GGA-PBE.

Unit cell a=11.4261 b=11.4261 c=8.5456 alpha=108.21 beta=108.21 gamma=17.78
Atoms (fractional coordinates):
Pm 0.0174 0.0174 0.2233
Pm 0.1765 0.1765 0.4417
Pm 0.3786 0.3786 0.9625
Pm 0.6214 0.6214 0.0375
Pm 0.8235 0.8235 0.5583
Pm 0.9826 0.9826 0.7767
Er 0.2657 0.2657 0.1805
Er 0.7343 0.7343 0.8195
Mg 0.4239 0.4239 0.4008
Mg 0.5761 0.5761 0.5992

Output
- magnetic moment (μB/f.u.) = 0.000
- space group = No. 12
- crystal system = monoclinic



Q.
This record from Alexandria via LeMat-Bulk describes an optimized crystal structure of Pm3ErMg. The functional is GGA-PBE.

Unit cell a=3.8131 b=10.6009 c=8.1881 alpha=90.00 beta=90.00 gamma=90.00
Atoms (fractional coordinates):
Pm 0.2500 0.0032 0.2330
Pm 0.2500 0.4968 0.2330
Pm 0.2500 0.7500 0.5560
Pm 0.7500 0.2500 0.4440
Pm 0.7500 0.5032 0.7670
Pm 0.7500 0.9968 0.7670
Er 0.2500 0.7500 0.9442
Er 0.7500 0.2500 0.0558
Mg 0.2500 0.2500 0.7563
Mg 0.7500 0.7500 0.2437

Output
- magnetic moment (μB/f.u.) = 0.001
- space group = No. 59
- crystal system = orthorhombic



Stability summary - winner: P; margin: 5.7 kJ/mol of atoms.



P.
This record from Alexandria via LeMat-Bulk describes an optimized crystal structure of Pm3ErMg3. The functional is GGA-PBE.

Unit cell a=7.7922 b=7.7922 c=7.0960 alpha=90.00 beta=90.00 gamma=92.72
Atoms (fractional coordinates):
Pm 0.0000 0.0000 0.2466
Pm 0.0000 0.0000 0.7534
Pm 0.0000 0.5000 0.2531
Pm 0.0000 0.5000 0.7469
Pm 0.5000 0.0000 0.2531
Pm 0.5000 0.0000 0.7469
Er 0.3101 0.3101 0.0000
Er 0.6899 0.6899 0.0000
Mg 0.2569 0.7431 0.0000
Mg 0.2826 0.2826 0.5000
Mg 0.3136 0.6864 0.5000
Mg 0.6864 0.3136 0.5000
Mg 0.7174 0.7174 0.5000
Mg 0.7431 0.2569 0.0000

Output
- magnetic moment (μB/f.u.) = 0.000
- space group = No. 65
- crystal system = orthorhombic



Q.
This record from Alexandria via LeMat-Bulk describes an optimized crystal structure of Pm3ErMg3. The functional is GGA-PBE.

Unit cell a=6.5149 b=6.5149 c=10.7041 alpha=90.83 beta=90.83 gamma=111.34
Atoms (fractional coordinates):
Pm 0.1750 0.8250 0.0000
Pm 0.2246 0.7754 0.5000
Pm 0.4699 0.4699 0.1730
Pm 0.5301 0.5301 0.8270
Pm 0.7754 0.2246 0.5000
Pm 0.8250 0.1750 0.0000
Er 0.2851 0.2851 0.5092
Er 0.7149 0.7149 0.4908
Mg 0.0000 0.0000 0.2599
Mg 0.0000 0.0000 0.7401
Mg 0.0154 0.4998 0.7486
Mg 0.4998 0.0154 0.7486
Mg 0.5002 0.9846 0.2514
Mg 0.9846 0.5002 0.2514

Output
- magnetic moment (μB/f.u.) = 0.796
- space group = No. 12
- crystal system = monoclinic



Stability summary - winner: P; margin: 1.2 kJ/mol of atoms.



P.
This record from Alexandria via LeMat-Bulk describes an optimized crystal structure of Pm4Er2Mg. The functional is GGA-PBE.

Unit cell a=5.9400 b=3.6569 c=10.9642 alpha=90.00 beta=99.55 gamma=90.00
Atoms (fractional coordinates):
Pm 0.0467 0.0000 0.2059
Pm 0.4363 0.5000 0.7488
Pm 0.5637 0.5000 0.2512
Pm 0.9533 0.0000 0.7941
Er 0.0000 0.5000 0.5000
Er 0.5000 0.0000 0.5000
Mg 0.5000 0.0000 0.0000

Output
- magnetic moment (μB/f.u.) = 0.000
- space group = No. 10
- crystal system = monoclinic



Q.
This record from Alexandria via LeMat-Bulk describes an optimized crystal structure of Pm4Er2Mg. The functional is GGA-PBE.

Unit cell a=8.9029 b=8.9029 c=8.9029 alpha=135.09 beta=101.26 gamma=95.54
Atoms (fractional coordinates):
Pm 0.1677 0.1546 0.0131
Pm 0.2409 0.2141 0.4732
Pm 0.2409 0.7677 0.0268
Pm 0.3585 0.8454 0.5131
Pm 0.6415 0.1546 0.4869
Pm 0.7591 0.2323 0.9732
Pm 0.7591 0.7859 0.5268
Pm 0.8323 0.8454 0.9869
Er 0.0000 0.5000 0.5000
Er 0.0330 0.2830 0.7500
Er 0.5000 0.5000 0.0000
Er 0.9670 0.7170 0.2500
Mg 0.5000 0.0000 0.0000
Mg 0.5000 0.5000 0.5000

Output
- magnetic moment (μB/f.u.) = 0.000
- space group = No. 74
- crystal system = orthorhombic



Stability summary - winner: P; margin: 6.7 kJ/mol of atoms.



P.
This record from Alexandria via LeMat-Bulk describes an optimized crystal structure of Pm2Er2Mg. The functional is GGA-PBE.

Unit cell a=12.1972 b=12.1972 c=12.1972 alpha=163.07 beta=163.07 gamma=24.03
Atoms (fractional coordinates):
Pm 0.0948 0.0948 0.0000
Pm 0.9052 0.9052 0.0000
Er 0.3012 0.3012 0.0000
Er 0.6988 0.6988 0.0000
Mg 0.5000 0.5000 0.0000

Output
- magnetic moment (μB/f.u.) = 0.000
- space group = No. 139
- crystal system = tetragonal



Q.
This record from Alexandria via LeMat-Bulk describes an optimized crystal structure of Pm2Er2Mg. The functional is GGA-PBE.

Unit cell a=12.9210 b=12.9210 c=12.9210 alpha=156.87 beta=156.87 gamma=32.94
Atoms (fractional coordinates):
Pm 0.0468 0.2968 0.7500
Pm 0.2968 0.0468 0.2500
Pm 0.7032 0.9532 0.7500
Pm 0.9532 0.7032 0.2500
Er 0.1997 0.4497 0.7500
Er 0.4497 0.1997 0.2500
Er 0.5503 0.8003 0.7500
Er 0.8003 0.5503 0.2500
Mg 0.1250 0.8750 0.2500
Mg 0.8750 0.1250 0.7500

Output
- magnetic moment (μB/f.u.) = 0.000
- space group = No. 141
- crystal system = tetragonal



Stability summary - winner: P; margin: 20.5 kJ/mol of atoms.